A plane-wave DFT calculation with PBE was carried out for a geometry-optimized LaBeSe2 structure.

Calculated values
- Fermi-level density of states: 0.69 states/eV/f.u.
- Uncorrected formation energy: -1.138 eV per atom
- Size of the total moment: 0.0 μB per formula unit

a b c (Å): 6.9596 6.9596 7.2910
angles (deg): 90.00 90.00 90.00
Space group I-42d (No. 122)
Asymmetric unit:
La: 0.0000 0.0000 0.0000 (multiplicity 4)
Be: 0.0000 0.0000 0.5000 (multiplicity 4)
Se: 0.1571 0.2500 0.6250 (multiplicity 8)

A plane-wave DFT calculation with PBE was carried out for a geometry-optimized Ho2Er8Tl structure.

Calculated values
- Fermi-level density of states: 14.71 states/eV/f.u.
- Formation enthalpy at 0 K: -0.03 eV/atom
- Size of the total moment: 0.0 μB per formula unit

a b c (Å): 11.0876 4.8912 12.4951
angles (deg): 90.00 104.87 90.00
Space group C2/m (No. 12)
Asymmetric unit:
Ho: 0.1857 0.0000 0.2671 (multiplicity 4)
Er: 0.0394 0.5000 0.8213 (multiplicity 4)
Er: 0.0916 0.0000 0.6373 (multiplicity 4)
Er: 0.1368 0.5000 0.4527 (multiplicity 4)
Er: 0.2370 0.5000 0.0880 (multiplicity 4)
Tl: 0.0000 0.0000 0.0000 (multiplicity 2)

A plane-wave DFT calculation with PBE was carried out for a geometry-optimized NaCa3Rh structure.

Calculated values
- Fermi-level density of states: 3.15 states/eV/f.u.
- Formation enthalpy at 0 K: -0.14 eV/atom
- Size of the total moment: 0.0 μB per formula unit

a b c (Å): 16.8906 4.6827 7.7637
angles (deg): 90.00 91.72 90.00
Space group C2/m (No. 12)
Asymmetric unit:
Na: 0.1016 0.0000 0.0185 (multiplicity 4)
Ca: 0.0240 0.5000 0.2684 (multiplicity 4)
Ca: 0.1646 0.0000 0.4953 (multiplicity 4)
Ca: 0.2112 0.5000 0.8506 (multiplicity 4)
Rh: 0.1941 0.5000 0.2498 (multiplicity 4)

A plane-wave DFT calculation with PBE was carried out for a geometry-optimized Li2Cd3TcO6 structure.

Calculated values
- Fermi-level density of states: 0.33 states/eV/f.u.
- Uncorrected formation energy: -1.283 eV per atom
- Size of the total moment: 3.0 μB per formula unit

a b c (Å): 5.5856 9.6203 5.5996
angles (deg): 90.00 109.55 90.00
Space group C2/m (No. 12)
Asymmetric unit:
Li: 0.0000 0.1618 0.0000 (multiplicity 4)
Cd: 0.0000 0.0000 0.5000 (multiplicity 2)
Cd: 0.0000 0.3285 0.5000 (multiplicity 4)
Tc: 0.0000 0.5000 0.0000 (multiplicity 2)
O: 0.2259 0.3453 0.2242 (multiplicity 8)
O: 0.2363 0.5000 0.7853 (multiplicity 4)

A plane-wave DFT calculation with PBE was carried out for a geometry-optimized K2InGa4Ge3 structure.

Calculated values
- Fermi-level density of states: 2.68 states/eV/f.u.
- Formation enthalpy at 0 K: -0.13 eV/atom
- Size of the total moment: 0.0 μB per formula unit

a b c (Å): 4.6900 4.6900 10.8380
angles (deg): 90.00 90.00 90.00
Space group P-4m2 (No. 115)
Asymmetric unit:
K: 0.0000 0.5000 0.2426 (multiplicity 2)
In: 0.0000 0.0000 0.5000 (multiplicity 1)
Ga: 0.0000 0.0000 0.0000 (multiplicity 1)
Ga: 0.0000 0.5000 0.6395 (multiplicity 2)
Ga: 0.5000 0.5000 0.0000 (multiplicity 1)
Ge: 0.0000 0.5000 0.8773 (multiplicity 2)
Ge: 0.5000 0.5000 0.5000 (multiplicity 1)

A plane-wave DFT calculation with PBE was carried out for a geometry-optimized SrCaNi structure.

Calculated values
- Fermi-level density of states: 1.17 states/eV/f.u.
- Formation enthalpy at 0 K: 0.05 eV/atom
- Size of the total moment: 0.0 μB per formula unit

a b c (Å): 4.1423 4.1423 6.8047
angles (deg): 90.00 90.00 120.00
Space group P3m1 (No. 156)
Asymmetric unit:
Sr: 0.0000 0.0000 0.0000 (multiplicity 1)
Ca: 0.6667 0.3333 0.5303 (multiplicity 1)
Ni: 0.3333 0.6667 0.7479 (multiplicity 1)